# 1
The following is a DFT calculation (GGA-PBE) of crystalline Ba4HPb2 at its relaxed geometry.

a b c (Å): 5.4285 5.4285 18.9828
angles (deg): 90.00 90.00 90.00
Closest atoms and distances in Å follow each position.
Positions (direct):
Ba (0.0000, 0.0000, 0.1819)  1 H 3.45, 1 Pb 3.56
Ba (0.0000, 0.0000, 0.8181)  1 H 3.45, 1 Pb 3.56
Ba (0.0000, 0.5000, 0.0000)  2 H 2.71
Ba (0.0000, 0.5000, 0.5000)  2 H 2.71
Ba (0.5000, 0.0000, 0.0000)  2 H 2.71
Ba (0.5000, 0.0000, 0.5000)  2 H 2.71
Ba (0.5000, 0.5000, 0.3181)  1 H 3.45, 1 Pb 3.56
Ba (0.5000, 0.5000, 0.6819)  1 H 3.45, 1 Pb 3.56
H (0.0000, 0.0000, 0.0000)  4 Ba 2.71
H (0.5000, 0.5000, 0.5000)  4 Ba 2.71
Pb (0.0000, 0.0000, 0.3692)  9 Ba 3.56-3.96
Pb (0.0000, 0.0000, 0.6308)  9 Ba 3.56-3.96
Pb (0.5000, 0.5000, 0.1308)  9 Ba 3.56-3.96
Pb (0.5000, 0.5000, 0.8692)  9 Ba 3.56-3.96

Output
Final energy (eV per atom): -3.12
E above lowest polymorph (eV/atom): 0.000
Magnetic moment (μB/atom): 0.000
DOS at the Fermi energy (states/eV per cell): 8.581

# 2
The following is a DFT calculation (GGA-PBE) of crystalline BaHPb at its relaxed geometry.

a b c (Å): 13.1117 5.2070 5.0572
angles (deg): 90.00 93.20 90.00
Closest atoms and distances in Å follow each position.
Positions (direct):
Ba (0.1382, 0.0000, 0.2586)  3 H 2.71-2.82
Ba (0.3618, 0.5000, 0.7414)  3 H 2.71-2.82
Ba (0.6382, 0.5000, 0.2586)  3 H 2.71-2.82
Ba (0.8618, 0.0000, 0.7414)  3 H 2.71-2.82
H (0.1828, 0.5000, 0.4449)  1 Pb 2.05
H (0.3172, 0.0000, 0.5551)  1 Pb 2.05
H (0.6828, 0.0000, 0.4449)  1 Pb 2.05
H (0.8172, 0.5000, 0.5551)  1 Pb 2.05
Pb (0.0807, 0.5000, 0.7385)  1 H 2.05
Pb (0.4193, 0.0000, 0.2615)  1 H 2.05
Pb (0.5807, 0.0000, 0.7385)  1 H 2.05
Pb (0.9193, 0.5000, 0.2615)  1 H 2.05

Output
Final energy (eV per atom): -3.36
Magnetic moment (μB/atom): 0.000
DOS at the Fermi energy (states/eV per cell): 4.612

# 3
The following is a DFT calculation (GGA-PBE) of crystalline Ba2H2Pb at its relaxed geometry.

a b c (Å): 8.5210 8.5210 3.5192
angles (deg): 90.00 90.00 90.00
Closest atoms and distances in Å follow each position.
Positions (direct):
Ba (0.1569, 0.3431, 0.0000)  4 H 2.85
Ba (0.3431, 0.8431, 0.0000)  4 H 2.85
Ba (0.6569, 0.1569, 0.0000)  4 H 2.85
Ba (0.8431, 0.6569, 0.0000)  4 H 2.85
H (0.1002, 0.6002, 0.5000)  1 H 2.41
H (0.3998, 0.1002, 0.5000)  1 H 2.41
H (0.6002, 0.8998, 0.5000)  1 H 2.41
H (0.8998, 0.3998, 0.5000)  1 H 2.41
Pb (0.0000, 0.0000, 0.5000)  4 H 3.51, 2 Pb 3.52, 8 Ba 3.66
Pb (0.5000, 0.5000, 0.5000)  4 H 3.51, 2 Pb 3.52, 8 Ba 3.66

Output
Final energy (eV per atom): -3.12
E above lowest polymorph (eV/atom): 0.225
Magnetic moment (μB/atom): 0.000
DOS at the Fermi energy (states/eV per cell): 2.415